Crystalline Pm3Pr3Sm8 at its relaxed geometry, computed with PBE-GGA.

a b c (Å): 5.7651 10.9632 15.4507
angles (deg): 90.00 90.00 90.00
Space group Immm (No. 71)
Asymmetric unit:
Pm (0.0000, 0.0000, 0.0000) [2 per cell]
Pm (0.0000, 0.5000, 0.3152) [4 per cell]
Pr (0.0000, 0.0000, 0.5000) [2 per cell]
Pr (0.0000, 0.3045, 0.5000) [4 per cell]
Sm (0.0000, 0.1600, 0.2781) [8 per cell]
Sm (0.0000, 0.3385, 0.1033) [8 per cell]

Crystal system: orthorhombic
Total moment, μB per atom: 0.00
D(E_F), states/eV/atom: 1.39
Calculated formation energy, kJ per mole of atoms: 10